Mg2AlTe after structural relaxation. Source: Alexandria, functional PBE.

Geometry as CIF:
```
data_Mg2AlTe
_space_group_name_H-M_alt 'F m -3 m'
_space_group_IT_number 225
_space_group_name_Hall '-F 4 2 3'
_cell_length_a 7.207
_cell_length_b 7.207
_cell_length_c 7.207
_cell_angle_alpha 90.00
_cell_angle_beta 90.00
_cell_angle_gamma 90.00
loop_
_atom_site_label
_atom_site_fract_x
_atom_site_fract_y
_atom_site_fract_z
_atom_site_occupancy
Mg1 0.250 0.250 0.250 1
Al1 0.000 0.000 0.000 1
Te1 0.000 0.000 0.500 1
```

Properties
E_form (uncorrected)	0.0384	eV per atom
volume	23.4	Å³ per atom
magnetization	0.0	μB per formula unit
energy relative to the lowest polymorph listed for this composition	0.178	eV/atom

=====

Ca2PdPb after structural relaxation. Source: Alexandria, functional PBE.

Geometry as CIF:
```
data_Ca2PdPb
_space_group_name_H-M_alt 'I -4 2 d'
_space_group_IT_number 122
_space_group_name_Hall 'I -4 2bw'
_cell_length_a 8.319
_cell_length_b 8.319
_cell_length_c 6.580
_cell_angle_alpha 90.00
_cell_angle_beta 90.00
_cell_angle_gamma 90.00
loop_
_atom_site_label
_atom_site_fract_x
_atom_site_fract_y
_atom_site_fract_z
_atom_site_occupancy
Ca1 0.202 0.250 0.125 1
Pd1 0.000 0.000 0.000 1
Pb1 0.000 0.000 0.500 1
```

Properties
total energy	-3.544	eV per atom
volume	28.5	Å³ per atom
magnetization	0.0	μB per formula unit

=====

DySbO4 after structural relaxation. Source: Alexandria, functional PBE.

Geometry as CIF:
```
data_DySbO4
_space_group_name_H-M_alt 'P 1 21/c 1'
_space_group_IT_number 14
_space_group_name_Hall '-P 2ybc'
_cell_length_a 7.667
_cell_length_b 5.388
_cell_length_c 7.565
_cell_angle_alpha 90.00
_cell_angle_beta 98.82
_cell_angle_gamma 90.00
loop_
_atom_site_label
_atom_site_fract_x
_atom_site_fract_y
_atom_site_fract_z
_atom_site_occupancy
Dy1 0.145 0.225 0.389 1
Sb1 0.337 0.732 0.193 1
O1 0.114 0.523 0.174 1
O2 0.177 0.011 0.120 1
O3 0.328 0.618 0.938 1
O4 0.432 0.094 0.808 1
```

Properties
E_form (uncorrected)	-2.4043	eV per atom
volume	12.9	Å³ per atom
magnetization	0.0	μB per formula unit

=====

Ca4Sb2S after structural relaxation. Source: Alexandria, functional PBE.

Geometry as CIF:
```
data_Ca4Sb2S
_space_group_name_H-M_alt 'I -4 2 d'
_space_group_IT_number 122
_space_group_name_Hall 'I -4 2bw'
_cell_length_a 9.164
_cell_length_b 9.164
_cell_length_c 9.548
_cell_angle_alpha 90.00
_cell_angle_beta 90.00
_cell_angle_gamma 90.00
loop_
_atom_site_label
_atom_site_fract_x
_atom_site_fract_y
_atom_site_fract_z
_atom_site_occupancy
Ca1 0.070 0.193 0.305 1
Sb1 0.127 0.250 0.625 1
S1 0.000 0.000 0.000 1
```

Properties
E_form (uncorrected)	-1.2746	eV per atom
volume	28.6	Å³ per atom
magnetization	0.0	μB per formula unit
energy relative to the lowest polymorph listed for this composition	0.000	eV/atom

=====

Y2Be2Tc after structural relaxation. Source: Alexandria, functional PBE.

Geometry as CIF:
```
data_Y2Be2Tc
_space_group_name_H-M_alt 'I 4/m m m'
_space_group_IT_number 139
_space_group_name_Hall '-I 4 2'
_cell_length_a 3.246
_cell_length_b 3.246
_cell_length_c 18.166
_cell_angle_alpha 90.00
_cell_angle_beta 90.00
_cell_angle_gamma 90.00
loop_
_atom_site_label
_atom_site_fract_x
_atom_site_fract_y
_atom_site_fract_z
_atom_site_occupancy
Y1 0.000 0.000 0.098 1
Be1 0.000 0.500 0.250 1
Tc1 0.000 0.000 0.500 1
```

Properties
volume	19.1	Å³ per atom
magnetization	0.0	μB per formula unit
energy relative to the lowest polymorph listed for this composition	0.196	eV/atom

=====

Sr2Al5Zn3 after structural relaxation. Source: Alexandria, functional PBE.

Geometry as CIF:
```
data_Sr2Al5Zn3
_space_group_name_H-M_alt 'P -4 m 2'
_space_group_IT_number 115
_space_group_name_Hall 'P -4 -2'
_cell_length_a 4.372
_cell_length_b 4.372
_cell_length_c 11.196
_cell_angle_alpha 90.00
_cell_angle_beta 90.00
_cell_angle_gamma 90.00
loop_
_atom_site_label
_atom_site_fract_x
_atom_site_fract_y
_atom_site_fract_z
_atom_site_occupancy
Sr1 0.000 0.500 0.246 1
Al1 0.000 0.000 0.500 1
Al2 0.000 0.500 0.641 1
Al3 0.500 0.500 0.000 1
Al4 0.500 0.500 0.500 1
Zn1 0.000 0.000 0.000 1
Zn2 0.000 0.500 0.872 1
```

Properties
volume	21.4	Å³ per atom
magnetization	0.0	μB per formula unit
energy relative to the lowest polymorph listed for this composition	0.017	eV/atom